Material: La2H2Rh
Method: DFT, PBE-GGA
State: optimized geometry

abc: 7.011 7.011 3.373
angles: 90.00 90.00 90.00
Fractional coordinates of all 10 atoms:
La1 0.183 0.317 0.000
La2 0.317 0.817 0.000
La3 0.683 0.183 0.000
La4 0.817 0.683 0.000
H1 0.115 0.615 0.500
H2 0.385 0.115 0.500
H3 0.615 0.885 0.500
H4 0.885 0.385 0.500
Rh1 0.000 0.000 0.500
Rh2 0.500 0.500 0.500

Computed properties:
As for the space group: P4/mbm. The value obtained for the calculated density is 7.67 Mg/m³. The value obtained for the offset from the most stable computed form is 213.6 meV per atom. The raw total energy comes out at -5.187 eV per atom.